[1]
The following is a PBE calculation of a relaxed MgAuIN2 crystal, from Alexandria.

The uncorrected formation energy is 599 kJ/mol of formula units. The calculation puts the energy above the most stable polymorph in this dataset at 0.0000 eV per atom. The calculation puts the total energy at -3.3736 eV per atom.

The structure belongs to space group P4/mmm (No. 123); the cell edges are 4.177, 4.177 and 6.411 Å and the angles 90.00°, 90.00° and 90.00°. The asymmetric unit holds Mg at (0.000, 0.000, 0.000), Au at (0.500, 0.500, 0.500), I at (0.000, 0.000, 0.500) and N at (0.000, 0.500, 0.000).

[2]
The following is a PBE calculation of a relaxed Y8Ho3Th2 crystal, from Alexandria.

The calculation puts the energy above the most stable polymorph in this dataset at 0.0000 eV per atom. The calculation puts the total energy at -6.0236 eV per atom.

The structure belongs to space group P2_1/c (No. 14); the cell edges are 6.668, 17.526 and 7.636 Å and the angles 90.00°, 106.52° and 90.00°. The asymmetric unit holds Y at (0.087, 0.073, 0.149), Y at (0.132, 0.082, 0.634), Y at (0.352, 0.240, 0.963), Y at (0.359, 0.614, 0.178), Ho at (0.106, 0.746, 0.402), Ho at (0.500, 0.000, 0.000) and Th at (0.343, 0.610, 0.752).

[3]
The following is a PBE calculation of a relaxed Ce6In2Sn crystal, from Alexandria.

The calculation puts the energy above the most stable polymorph in this dataset at 0.0000 eV per atom. The calculation puts the total energy at -5.2720 eV per atom.

The structure belongs to space group P6/mmm (No. 191); the cell edges are 9.1428, 9.1428 and 3.1489 Å and the angles 90.00°, 90.00° and 120.00°. The asymmetric unit holds Ce at (0.0000, 0.3299, 0.0000), In at (0.3333, 0.6667, 0.5000) and Sn at (0.0000, 0.0000, 0.5000).

[4]
The following is a PBE calculation of a relaxed Ca4BiTe2Br crystal, from Alexandria.

The uncorrected formation energy is -1133 kJ/mol of formula units. The calculation puts the total energy at -3.9480 eV per atom.

The structure belongs to space group Fmm2 (No. 42); the cell edges are 8.999, 12.918 and 9.001 Å and the angles 90.00°, 90.00° and 90.00°. The asymmetric unit holds Ca at (0.000, 0.241, 0.000), Ca at (0.250, 0.000, 0.249), Bi at (0.000, 0.000, 0.999), Te at (0.250, 0.250, 0.250) and Br at (0.000, 0.000, 0.499).

[5]
The following is a PBE calculation of a relaxed NaNbO2 crystal, from Alexandria.

The uncorrected formation energy is -494 kJ/mol of formula units. The calculation puts the total energy at -6.6071 eV per atom.

The structure belongs to space group Fm-3m (No. 225); the cell edges are 5.508, 5.508 and 5.508 Å and the angles 90.00°, 90.00° and 90.00°. The asymmetric unit holds Na at (0.000, 0.000, 0.000), Nb at (0.000, 0.000, 0.500) and O at (0.250, 0.250, 0.250).

[6]
The following is a PBE calculation of a relaxed PaNiBrN2 crystal, from Alexandria.

The uncorrected formation energy is -373 kJ/mol of formula units. The calculation puts the total energy at -7.4934 eV per atom.

The structure belongs to space group P2_1/m (No. 11); the cell edges are 6.373, 3.534 and 7.435 Å and the angles 90.00°, 95.56° and 90.00°. The asymmetric unit holds Pa at (0.122, 0.250, 0.197), Ni at (0.383, 0.250, 0.921), Br at (0.243, 0.750, 0.527), N at (0.082, 0.250, 0.875) and N at (0.346, 0.750, 0.114).

[7]
The following is a PBE calculation of a relaxed CePm4Pr8 crystal, from Alexandria.

The calculation puts the total energy at -4.7220 eV per atom.

The structure belongs to space group R-3m (No. 166, hexagonal axes); the cell edges are 7.5439, 7.5439 and 27.9720 Å and the angles 90.00°, 90.00° and 120.00°. The asymmetric unit holds Ce at (0.0000, 0.0000, 0.0000), Pm at (0.0000, 0.0000, 0.5000), Pm at (0.0000, 0.5000, 0.5000), Pr at (0.0000, 0.0000, 0.2794) and Pr at (0.0291, 0.5145, 0.2707).

[8]
The following is a PBE calculation of a relaxed BaZr2W crystal, from Alexandria.

The calculation puts the energy above the most stable polymorph in this dataset at 0.2352 eV per atom. The calculation puts the total energy at -7.4165 eV per atom.

The structure belongs to space group C2/m (No. 12); the cell edges are 8.603, 3.259 and 8.048 Å and the angles 90.00°, 94.10° and 90.00°. The asymmetric unit holds Ba at (0.000, 0.000, 0.000), Zr at (0.231, 0.000, 0.663) and W at (0.000, 0.500, 0.500).